Entry 1:
VASP calculation (PBE) on a relaxed CaLa2B2 crystal.

Cell lengths 7.249, 7.249, 4.343 Å; angles 90.00, 90.00, 90.00 degrees
Space group P4/mbm (No. 127)
Asymmetric unit:
1 Ca 0.000 0.000 0.000 x2
2 La 0.174 0.326 0.500 x4
3 B 0.080 0.580 0.000 x4

Output
Energy above the most stable polymorph in this dataset   0.0000 eV/atom
Spin magnetization   0.00 μB per formula unit
Formation enthalpy at 0 K   22 kJ/mol of formula units
ρ   4941 kg/m3

---

Entry 2:
VASP calculation (PBE) on a relaxed ZrTaS crystal.

Cell lengths 7.499, 9.736, 6.243 Å; angles 90.00, 90.00, 90.00 degrees
Space group Cmce (No. 64)
Asymmetric unit:
1 Zr 0.209 0.000 0.000 x8
2 Ta 0.000 0.191 0.326 x8
3 S 0.000 0.082 0.687 x8

Output
Formation energy (no corrections)   -415 meV per atom
Spin magnetization   0.00 μB per formula unit
ρ   8867 kg/m3